Entry 1:
A plane-wave DFT calculation with PBE-GGA was carried out for a geometry-optimized AsO structure.

```
AsO
1.0
2.858 0.000 0.000
-1.429 2.475 0.000
0.000 0.000 8.562
As O
2 2
Direct
0.333 0.667 0.000
0.667 0.333 0.500
0.333 0.667 0.644
0.667 0.333 0.144
```

## Properties
Polymorph energy (0 for the lowest one): 1.056 eV/f.u.
Volume: 60.6 Å³/cell
DOS at the Fermi energy: 0.45 states/eV per atom
Magnetic moment: 0.00 Bohr magnetons per cell
E_form (uncorrected): -28 kJ/mol of atoms

Entry 2:
A plane-wave DFT calculation with PBE-GGA was carried out for a geometry-optimized As2O3 structure.

```
As2O3
1.0
6.161 0.000 0.000
0.000 7.944 0.000
0.000 0.000 5.200
As O
8 12
Direct
0.000 0.000 0.000
0.000 0.500 0.000
0.008 0.250 0.478
0.492 0.750 0.978
0.500 0.000 0.500
0.500 0.500 0.500
0.508 0.250 0.022
0.992 0.750 0.522
0.063 0.250 0.829
0.184 0.074 0.362
0.184 0.426 0.362
0.316 0.574 0.862
0.316 0.926 0.862
0.437 0.750 0.329
0.563 0.250 0.671
0.684 0.074 0.138
0.684 0.426 0.138
0.816 0.574 0.638
0.816 0.926 0.638
0.937 0.750 0.171
```

## Properties
Volume: 254.5 Å³/cell
DOS at the Fermi energy: 0.00 states/eV per atom
Magnetic moment: 0.00 Bohr magnetons per cell
E_form (uncorrected): -88 kJ/mol of atoms

Entry 3:
A plane-wave DFT calculation with PBE-GGA was carried out for a geometry-optimized As2O3 structure.

```
As2O3
1.0
5.728 0.000 0.000
0.000 15.201 0.000
-1.055 0.000 4.520
As O
8 12
Direct
0.037 0.179 0.362
0.037 0.321 0.862
0.297 0.540 0.547
0.297 0.960 0.047
0.703 0.040 0.953
0.703 0.460 0.453
0.963 0.679 0.138
0.963 0.821 0.638
0.032 0.710 0.789
0.032 0.790 0.289
0.256 0.625 0.263
0.256 0.875 0.763
0.377 0.052 0.821
0.377 0.448 0.321
0.623 0.552 0.679
0.623 0.948 0.179
0.744 0.125 0.237
0.744 0.375 0.737
0.968 0.210 0.711
0.968 0.290 0.211
```

## Properties
Volume: 393.6 Å³/cell
DOS at the Fermi energy: 0.00 states/eV per atom
Magnetic moment: 0.00 Bohr magnetons per cell
E_form (uncorrected): -110 kJ/mol of atoms

Entry 4:
A plane-wave DFT calculation with PBE-GGA was carried out for a geometry-optimized As2O3 structure.

```
As2O3
1.0
5.223 -6.220 0.000
5.223 6.220 0.000
-0.129 0.000 5.322
As O
8 12
Direct
0.139 0.861 0.750
0.181 0.354 0.669
0.259 0.741 0.250
0.354 0.181 0.169
0.646 0.819 0.831
0.741 0.259 0.750
0.819 0.646 0.331
0.861 0.139 0.250
0.043 0.715 0.406
0.144 0.676 0.930
0.191 0.241 0.958
0.241 0.191 0.458
0.285 0.957 0.094
0.324 0.856 0.570
0.676 0.144 0.430
0.715 0.043 0.906
0.759 0.809 0.542
0.809 0.759 0.042
0.856 0.324 0.070
0.957 0.285 0.594
```

## Properties
Volume: 345.9 Å³/cell
DOS at the Fermi energy: 0.00 states/eV per atom
Magnetic moment: 0.00 Bohr magnetons per cell
E_form (uncorrected): -102 kJ/mol of atoms